one) # Sm4Dy7Sc | the Alexandria database | PBE | optimized geometry
# - magnetization (μB/cell) = 0.000
data_Sm4Dy7Sc
_cell_length_a 6.456
_cell_length_b 6.762
_cell_length_c 9.106
_cell_angle_alpha 85.51
_cell_angle_beta 76.91
_cell_angle_gamma 82.31
_space_group_name_H-M_alt 'P 1'
_space_group_IT_number 1
_space_group_name_Hall 'P 1'
loop_
_atom_site_label
_atom_site_type_symbol
_atom_site_fract_x
_atom_site_fract_y
_atom_site_fract_z
Sm1 Sm 0.152 0.319 0.279
Sm2 Sm 0.335 0.880 0.696
Sm3 Sm 0.665 0.120 0.304
Sm4 Sm 0.848 0.681 0.721
Dy1 Dy 0.002 0.256 0.951
Dy2 Dy 0.178 0.810 0.365
Dy3 Dy 0.312 0.391 0.618
Dy4 Dy 0.500 0.000 0.000
Dy5 Dy 0.688 0.609 0.382
Dy6 Dy 0.822 0.190 0.635
Dy7 Dy 0.998 0.744 0.049
Sc1 Sc 0.500 0.500 0.000

---

two) # Sm4Dy7Sc | the Alexandria database | PBE | optimized geometry
# - magnetization (μB/cell) = 0.269
data_Sm4Dy7Sc
_cell_length_a 6.566
_cell_length_b 6.566
_cell_length_c 12.979
_cell_angle_alpha 113.99
_cell_angle_beta 113.99
_cell_angle_gamma 52.39
_space_group_name_H-M_alt 'P 1'
_space_group_IT_number 1
_space_group_name_Hall 'P 1'
loop_
_atom_site_label
_atom_site_type_symbol
_atom_site_fract_x
_atom_site_fract_y
_atom_site_fract_z
Sm1 Sm 0.146 0.146 0.277
Sm2 Sm 0.210 0.210 0.795
Sm3 Sm 0.790 0.790 0.205
Sm4 Sm 0.854 0.854 0.723
Dy1 Dy 0.000 0.000 0.500
Dy2 Dy 0.145 0.145 0.012
Dy3 Dy 0.296 0.296 0.580
Dy4 Dy 0.462 0.462 0.146
Dy5 Dy 0.538 0.538 0.854
Dy6 Dy 0.704 0.704 0.420
Dy7 Dy 0.855 0.855 0.988
Sc1 Sc 0.500 0.500 0.500

---

Of them, the most stable is one) and the least stable is two).

---

one) # Sm12Dy6Sc | the Alexandria database | PBE | optimized geometry
# - magnetization (μB/cell) = 0.001
data_Sm12Dy6Sc
_cell_length_a 8.581
_cell_length_b 8.581
_cell_length_c 8.581
_cell_angle_alpha 89.09
_cell_angle_beta 89.09
_cell_angle_gamma 89.09
_space_group_name_H-M_alt 'P 1'
_space_group_IT_number 1
_space_group_name_Hall 'P 1'
loop_
_atom_site_label
_atom_site_type_symbol
_atom_site_fract_x
_atom_site_fract_y
_atom_site_fract_z
Sm1 Sm 0.017 0.191 0.359
Sm2 Sm 0.191 0.359 0.017
Sm3 Sm 0.219 0.463 0.564
Sm4 Sm 0.359 0.017 0.191
Sm5 Sm 0.436 0.781 0.537
Sm6 Sm 0.463 0.564 0.219
Sm7 Sm 0.537 0.436 0.781
Sm8 Sm 0.564 0.219 0.463
Sm9 Sm 0.641 0.983 0.809
Sm10 Sm 0.781 0.537 0.436
Sm11 Sm 0.809 0.641 0.983
Sm12 Sm 0.983 0.809 0.641
Dy1 Dy 0.097 0.705 0.259
Dy2 Dy 0.259 0.097 0.705
Dy3 Dy 0.295 0.741 0.903
Dy4 Dy 0.705 0.259 0.097
Dy5 Dy 0.741 0.903 0.295
Dy6 Dy 0.903 0.295 0.741
Sc1 Sc 0.000 0.000 0.000

---

two) # Sm12Dy6Sc | the Alexandria database | PBE | optimized geometry
# - magnetization (μB/cell) = 0.000
data_Sm12Dy6Sc
_cell_length_a 9.695
_cell_length_b 9.695
_cell_length_c 9.695
_cell_angle_alpha 110.89
_cell_angle_beta 110.89
_cell_angle_gamma 110.89
_space_group_name_H-M_alt 'P 1'
_space_group_IT_number 1
_space_group_name_Hall 'P 1'
loop_
_atom_site_label
_atom_site_type_symbol
_atom_site_fract_x
_atom_site_fract_y
_atom_site_fract_z
Sm1 Sm 0.000 0.391 0.609
Sm2 Sm 0.000 0.609 0.391
Sm3 Sm 0.247 0.247 0.495
Sm4 Sm 0.247 0.495 0.247
Sm5 Sm 0.391 0.000 0.609
Sm6 Sm 0.391 0.609 0.000
Sm7 Sm 0.495 0.247 0.247
Sm8 Sm 0.505 0.753 0.753
Sm9 Sm 0.609 0.000 0.391
Sm10 Sm 0.609 0.391 0.000
Sm11 Sm 0.753 0.505 0.753
Sm12 Sm 0.753 0.753 0.505
Dy1 Dy 0.144 0.144 0.761
Dy2 Dy 0.144 0.761 0.144
Dy3 Dy 0.239 0.856 0.856
Dy4 Dy 0.761 0.144 0.144
Dy5 Dy 0.856 0.239 0.856
Dy6 Dy 0.856 0.856 0.239
Sc1 Sc 0.500 0.500 0.500

---

Of them, the most stable is one) and the least stable is two).

---

one) # Sm6DySc2 | the Alexandria database | PBE | optimized geometry
# - magnetization (μB/cell) = 0.000
data_Sm6DySc2
_cell_length_a 11.790
_cell_length_b 11.790
_cell_length_c 5.590
_cell_angle_alpha 103.68
_cell_angle_beta 103.68
_cell_angle_gamma 48.33
_space_group_name_H-M_alt 'P 1'
_space_group_IT_number 1
_space_group_name_Hall 'P 1'
loop_
_atom_site_label
_atom_site_type_symbol
_atom_site_fract_x
_atom_site_fract_y
_atom_site_fract_z
Sm1 Sm 0.004 0.169 0.335
Sm2 Sm 0.080 0.578 0.079
Sm3 Sm 0.169 0.004 0.835
Sm4 Sm 0.329 0.498 0.662
Sm5 Sm 0.422 0.920 0.421
Sm6 Sm 0.498 0.329 0.162
Sm7 Sm 0.502 0.671 0.838
Sm8 Sm 0.578 0.080 0.579
Sm9 Sm 0.671 0.502 0.338
Sm10 Sm 0.831 0.996 0.165
Sm11 Sm 0.920 0.422 0.921
Sm12 Sm 0.996 0.831 0.665
Dy1 Dy 0.251 0.749 0.250
Dy2 Dy 0.749 0.251 0.750
Sc1 Sc 0.166 0.333 0.501
Sc2 Sc 0.333 0.166 0.001
Sc3 Sc 0.667 0.834 0.999
Sc4 Sc 0.834 0.667 0.499

---

two) # Sm6DySc2 | the Alexandria database | PBE | optimized geometry
# - magnetization (μB/cell) = 0.000
data_Sm6DySc2
_cell_length_a 7.994
_cell_length_b 7.994
_cell_length_c 10.315
_cell_angle_alpha 90.00
_cell_angle_beta 90.00
_cell_angle_gamma 90.00
_space_group_name_H-M_alt 'P 1'
_space_group_IT_number 1
_space_group_name_Hall 'P 1'
loop_
_atom_site_label
_atom_site_type_symbol
_atom_site_fract_x
_atom_site_fract_y
_atom_site_fract_z
Sm1 Sm 0.232 0.232 0.000
Sm2 Sm 0.242 0.242 0.331
Sm3 Sm 0.242 0.242 0.669
Sm4 Sm 0.258 0.742 0.169
Sm5 Sm 0.258 0.742 0.831
Sm6 Sm 0.268 0.732 0.500
Sm7 Sm 0.732 0.268 0.500
Sm8 Sm 0.742 0.258 0.169
Sm9 Sm 0.742 0.258 0.831
Sm10 Sm 0.758 0.758 0.331
Sm11 Sm 0.758 0.758 0.669
Sm12 Sm 0.768 0.768 0.000
Dy1 Dy 0.000 0.000 0.500
Dy2 Dy 0.500 0.500 0.000
Sc1 Sc 0.000 0.000 0.167
Sc2 Sc 0.000 0.000 0.833
Sc3 Sc 0.500 0.500 0.333
Sc4 Sc 0.500 0.500 0.667

---

Of them, the most stable is one) and the least stable is two).

---

one) # Sm2Dy7Sc2 | the Alexandria database | PBE | optimized geometry
# - magnetization (μB/cell) = 0.000
data_Sm2Dy7Sc2
_cell_length_a 10.210
_cell_length_b 10.210
_cell_length_c 3.563
_cell_angle_alpha 94.55
_cell_angle_beta 94.55
_cell_angle_gamma 102.57
_space_group_name_H-M_alt 'P 1'
_space_group_IT_number 1
_space_group_name_Hall 'P 1'
loop_
_atom_site_label
_atom_site_type_symbol
_atom_site_fract_x
_atom_site_fract_y
_atom_site_fract_z
Sm1 Sm 0.177 0.823 0.000
Sm2 Sm 0.823 0.177 0.000
Dy1 Dy 0.143 0.496 0.324
Dy2 Dy 0.286 0.286 0.869
Dy3 Dy 0.496 0.143 0.324
Dy4 Dy 0.500 0.500 0.500
Dy5 Dy 0.504 0.857 0.676
Dy6 Dy 0.714 0.714 0.131
Dy7 Dy 0.857 0.504 0.676
Sc1 Sc 0.094 0.094 0.351
Sc2 Sc 0.906 0.906 0.649

---

two) # Sm2Dy7Sc2 | the Alexandria database | PBE | optimized geometry
# - magnetization (μB/cell) = 0.001
data_Sm2Dy7Sc2
_cell_length_a 10.540
_cell_length_b 10.540
_cell_length_c 10.540
_cell_angle_alpha 160.29
_cell_angle_beta 66.31
_cell_angle_gamma 117.41
_space_group_name_H-M_alt 'P 1'
_space_group_IT_number 1
_space_group_name_Hall 'P 1'
loop_
_atom_site_label
_atom_site_type_symbol
_atom_site_fract_x
_atom_site_fract_y
_atom_site_fract_z
Sm1 Sm 0.000 0.000 0.000
Sm2 Sm 0.689 0.189 0.500
Dy1 Dy 0.260 0.622 0.638
Dy2 Dy 0.342 0.342 0.000
Dy3 Dy 0.388 0.079 0.308
Dy4 Dy 0.685 0.840 0.844
Dy5 Dy 0.771 0.079 0.692
Dy6 Dy 0.983 0.622 0.362
Dy7 Dy 0.996 0.840 0.156
Sc1 Sc 0.147 0.338 0.809
Sc2 Sc 0.530 0.338 0.191

---

Of them, the most stable is two) and the least stable is one).